1.
Material: CaTbDy4
Method: DFT, PBE
State: relaxed

Geometry as extended XYZ:
```
6
Lattice="0.0000 4.6943 4.6943 4.6943 0.0000 4.6943 4.6943 4.6943 0.0000" Properties=species:S:1:pos:R:3 pbc="T T T"
Ca 0.0000 0.0000 0.0000
Tb 7.0415 7.0415 7.0415
Dy 3.5345 3.5345 3.5345
Dy 5.8542 5.8542 3.5345
Dy 5.8542 3.5345 5.8542
Dy 3.5345 5.8542 5.8542
```

Calculated values
The energy above the most stable polymorph in this dataset is 0.97 eV per formula unit. The value obtained for the formation energy is 218 meV/atom. The value obtained for the total moment is 0.00 μB/f.u. The calculated density is 6.81 g/cm³. For the total energy, the calculation gives -3.9557 eV/atom.


2.
Material: Y2TeBr
Method: DFT, PBE
State: relaxed

Geometry as extended XYZ:
```
8
Lattice="3.9967 0.0000 0.0000 0.0000 4.0700 0.0000 0.0000 0.0000 13.5419" Properties=species:S:1:pos:R:3 pbc="T T T"
Y 0.0000 0.0000 0.0000
Y 0.0000 2.0350 3.4657
Y 1.9984 0.0000 10.2366
Y 1.9984 2.0350 6.7709
Te 0.0000 0.0000 7.9456
Te 1.9984 2.0350 1.1747
Br 0.0000 2.0350 11.3228
Br 1.9984 0.0000 4.5519
```

Calculated values
The energy above the most stable polymorph in this dataset is 0.16 eV per formula unit. As for the uncorrected formation energy: -4.5 eV/f.u. The value obtained for the total moment is 0.66 μB/f.u. The calculated density is 5.81 g/cm³. For the total energy, the calculation gives -5.5646 eV/atom.


3.
Material: TbPm7Nd4
Method: DFT, PBE
State: relaxed

Geometry as extended XYZ:
```
12
Lattice="6.3673 0.0000 0.0000 0.0011 7.3601 0.0000 2.1286 0.0105 8.8559" Properties=species:S:1:pos:R:3 pbc="T T T"
Tb 0.0000 0.0000 0.0000
Pm 0.0006 3.6800 0.0000
Pm 2.1163 0.0054 2.9379
Pm 3.1919 5.5354 5.9286
Pm 3.1856 1.8303 0.0033
Pm 5.3114 5.5402 8.8525
Pm 5.3051 1.8352 2.9273
Pm 6.3807 7.3651 5.9180
Nd 2.1304 3.6837 2.9405
Nd 3.1922 1.8364 5.9270
Nd 5.3048 5.5341 2.9289
Nd 6.3666 3.6868 5.9154
```

Calculated values
The energy above the most stable polymorph in this dataset is 0.00 eV per formula unit. The value obtained for the formation energy is 11 meV/atom. The value obtained for the total moment is 0.00 μB/f.u. The calculated density is 7.01 g/cm³. For the total energy, the calculation gives -4.7350 eV/atom.


4.
Material: Ho5Er3Bi8
Method: DFT, PBE
State: relaxed

Geometry as extended XYZ:
```
16
Lattice="4.4525 2.5706 7.2708 -4.4525 2.5706 7.2708 0.0000 -5.1413 7.2708" Properties=species:S:1:pos:R:3 pbc="T T T"
Ho 0.0000 0.0000 0.0000
Ho -2.2262 -1.2853 7.2708
Ho -2.2262 1.2853 14.5417
Ho 0.0000 2.5706 7.2708
Ho 0.0000 0.0000 10.9063
Er -4.4525 0.0000 10.9062
Er -2.2262 1.2853 3.6354
Er 2.2262 1.2853 3.6354
Bi -2.2296 -1.2873 12.7185
Bi 0.0000 0.0000 5.4462
Bi 0.0000 -2.5745 9.0940
Bi -2.2296 1.2873 9.0940
Bi 2.2296 -1.2873 12.7185
Bi 0.0000 2.5745 12.7185
Bi 0.0000 0.0000 16.3663
Bi 2.2296 1.2873 9.0940
```

Calculated values
The value obtained for the formation energy is -826 meV/atom. The value obtained for the total moment is 0.00 μB/f.u. The calculated density is 9.97 g/cm³. For the total energy, the calculation gives -5.0529 eV/atom.


5.
Material: ScRe2Ni
Method: DFT, PBE
State: relaxed

Geometry as extended XYZ:
```
4
Lattice="2.6856 0.0000 0.0000 0.0000 2.6856 0.0000 0.0000 0.0000 8.3221" Properties=species:S:1:pos:R:3 pbc="T T T"
Sc 0.0000 0.0000 0.0000
Re 1.3428 1.3428 2.3237
Re 1.3428 1.3428 5.9984
Ni 0.0000 0.0000 4.1610
```

Calculated values
The energy above the most stable polymorph in this dataset is 0.59 eV per formula unit. The value obtained for the formation energy is 69 meV/atom. The value obtained for the total moment is 0.00 μB/f.u. The calculated density is 13.17 g/cm³. For the total energy, the calculation gives -9.1832 eV/atom.


6.
Material: TlSiTe
Method: DFT, PBE
State: relaxed

Geometry as extended XYZ:
```
3
Lattice="4.9428 0.0000 0.0000 -2.4714 4.2806 0.0000 0.0000 0.0000 4.1204" Properties=species:S:1:pos:R:3 pbc="T T T"
Tl 0.0000 0.0000 0.0000
Si 2.4714 1.4269 2.0602
Te 0.0000 2.8537 2.0602
```

Calculated values
The energy above the most stable polymorph in this dataset is 0.51 eV per formula unit. As for the uncorrected formation energy: 1.0 eV/f.u. The value obtained for the total moment is 0.00 μB/f.u. The calculated density is 6.86 g/cm³. For the total energy, the calculation gives -3.3036 eV/atom.